Below is an optimized crystal structure of Y2CuSi3Pt4, with properties calculated at the PBE level.

Lattice parameters (Å, degrees): 4.203 4.203 9.926 90.00 90.00 90.00
Atoms (fractional coordinates):
Pt 0.000 0.500 0.367
Pt 0.500 0.500 0.000
Pt 0.000 0.000 0.000
Pt 0.500 0.000 0.633
Y 0.000 0.500 0.741
Y 0.500 0.000 0.259
Cu 0.500 0.500 0.500
Si 0.500 0.000 0.868
Si 0.000 0.500 0.132
Si 0.000 0.000 0.500

## Properties
- Uncorrected energy: -6.75 eV per atom
- Calculated density: 10.5 g/cm³
- ΔE_f (raw): -1007 meV per atom
- N(E_F): 0.5148 states/eV per atom
- Total moment: 0.0000 μB per atom

Below is an optimized crystal structure of BAu2C, with properties calculated at the PBE level.

Lattice parameters (Å, degrees): 3.124 5.652 6.452 90.00 90.00 90.00
Atoms (fractional coordinates):
Au 0.500 0.755 0.155
Au 0.500 0.745 0.655
Au 0.500 0.245 0.155
Au 0.500 0.255 0.655
C 0.000 0.500 0.032
C 0.000 0.000 0.532
B 0.000 0.500 0.798
B 0.000 0.000 0.298

## Properties
- Uncorrected energy: -4.83 eV per atom
- E above lowest polymorph: 0.4886 eV per atom
- Calculated density: 12.1 g/cm³
- ΔH_f (0 K): 3.12 eV per formula unit
- N(E_F): 0.3360 states/eV per atom
- Total moment: 0.0000 μB per atom

Below is an optimized crystal structure of TbGa2Pd3, with properties calculated at the PBE level.

Lattice parameters (Å, degrees): 5.442 6.333 6.333 97.60 90.17 90.17
Atoms (fractional coordinates):
Pd 0.251 0.558 0.882
Pd 0.749 0.442 0.118
Pd 0.750 0.010 0.010
Pd 0.251 0.882 0.558
Pd 0.749 0.118 0.442
Pd 0.250 0.990 0.990
Ga 0.000 0.230 0.770
Ga 0.000 0.770 0.230
Ga 0.500 0.231 0.769
Ga 0.500 0.769 0.231
Tb 0.248 0.325 0.325
Tb 0.752 0.675 0.675

## Properties
- Uncorrected energy: -5.11 eV per atom
- Calculated density: 9.5 g/cm³
- ΔH_f (0 K): -4.37 eV per formula unit
- N(E_F): 0.5249 states/eV per atom
- Total moment: 0.0000 μB per atom

Below is an optimized crystal structure of KLiF3, with properties calculated at the PBE level.

Lattice parameters (Å, degrees): 3.794 3.794 13.067 90.00 90.00 120.00
Each line ends with the local moment (μB).
Atoms (fractional coordinates):
K 0.000 0.000 0.500  0.00
K 0.000 0.000 0.000  0.00
F 0.000 0.000 0.250  0.41
F 0.667 0.333 0.109  0.24
F 0.333 0.667 0.891  0.24
F 0.667 0.333 0.391  0.24
F 0.000 0.000 0.750  0.41
F 0.333 0.667 0.609  0.24
Li 0.333 0.667 0.750  0.00
Li 0.667 0.333 0.250  0.00

## Properties
- Uncorrected energy: -3.91 eV per atom
- E above lowest polymorph: 0.1171 eV per atom
- Calculated density: 2.1 g/cm³
- ΔE_f (raw): -2186 meV per atom
- N(E_F): 1.5190 states/eV per atom
- Total moment: 0.2000 μB per atom

Below is an optimized crystal structure of KTeAuI2, with properties calculated at the PBE level.

Lattice parameters (Å, degrees): 6.452 6.452 6.531 90.00 90.00 90.00
Each line ends with the local moment (μB).
Atoms (fractional coordinates):
I 0.000 0.500 0.000  0.20
I 0.500 0.000 0.000  0.20
Au 0.500 0.500 0.500  -0.15
K 0.000 0.000 0.000  0.01
Te 0.000 0.000 0.500  0.92

## Properties
- Uncorrected energy: -1.54 eV per atom
- E above lowest polymorph: 0.9388 eV per atom
- Calculated density: 3.8 g/cm³
- ΔE_f (raw): 586 meV per atom
- N(E_F): 1.3427 states/eV per atom
- Total moment: 0.4182 μB per atom

Below is an optimized crystal structure of Li3Ac3Al8, with properties calculated at the PBE level.

Lattice parameters (Å, degrees): 4.631 8.934 8.934 68.95 74.98 74.98
Atoms (fractional coordinates):
Li 0.500 0.000 0.000
Li 0.000 0.792 0.208
Li 0.000 0.208 0.792
Al 0.353 0.374 0.919
Al 0.161 0.204 0.474
Al 0.647 0.626 0.081
Al 0.647 0.081 0.626
Al 0.353 0.919 0.374
Al 0.839 0.526 0.796
Al 0.161 0.474 0.204
Al 0.839 0.796 0.526
Ac 0.195 0.805 0.805
Ac 0.500 0.500 0.500
Ac 0.805 0.195 0.195

## Properties
- Uncorrected energy: -3.72 eV per atom
- Calculated density: 4.7 g/cm³
- ΔH_f (0 K): -4.13 eV per formula unit
- N(E_F): 0.4134 states/eV per atom
- Total moment: 0.0001 μB per atom

Below is an optimized crystal structure of Cd2InW, with properties calculated at the PBE level.

Lattice parameters (Å, degrees): 7.824 7.824 6.222 51.04 51.04 90.00
Each line ends with the local moment (μB).
Atoms (fractional coordinates):
Cd 0.875 0.882 0.750  0.00
Cd 0.118 0.625 0.250  0.00
Cd 0.375 0.368 0.750  0.00
Cd 0.632 0.125 0.250  -0.01
In 0.250 0.750 0.500  -0.01
In 0.500 0.500 0.000  -0.01
W 0.750 0.250 0.500  0.80
W 0.000 0.000 0.000  0.79

## Properties
- Uncorrected energy: -3.45 eV per atom
- Calculated density: 10.0 g/cm³
- ΔH_f (0 K): 3.71 eV per formula unit
- N(E_F): 0.2599 states/eV per atom
- Total moment: 0.2412 μB per atom

Below is an optimized crystal structure of PaTl2HS4, with properties calculated at the PBE level.

Lattice parameters (Å, degrees): 3.925 7.908 6.835 69.76 90.00 90.00
Atoms (fractional coordinates):
H 0.500 0.500 0.000
Tl 0.000 0.000 0.000
Tl 0.500 0.000 0.500
S 0.000 0.337 0.224
S 0.000 0.663 0.776
S 0.500 0.713 0.290
S 0.500 0.287 0.710
Pa 0.000 0.500 0.500

## Properties
- Uncorrected energy: -4.73 eV per atom
- Calculated density: 6.4 g/cm³
- N(E_F): 0.0216 states/eV per atom
- Total moment: 0.0000 μB per atom

Below is an optimized crystal structure of ThPb4, with properties calculated at the PBE level.

Lattice parameters (Å, degrees): 4.899 6.765 10.178 109.41 103.93 90.00
Atoms (fractional coordinates):
Th 0.089 0.839 0.179
Th 0.911 0.161 0.821
Pb 0.500 0.500 0.000
Pb 0.899 0.649 0.799
Pb 0.101 0.351 0.201
Pb 0.692 0.691 0.384
Pb 0.308 0.309 0.616
Pb 0.692 0.194 0.384
Pb 0.308 0.806 0.616
Pb 0.500 0.000 0.000

## Properties
- Uncorrected energy: -4.56 eV per atom
- E above lowest polymorph: 0.0000 eV per atom
- Calculated density: 11.5 g/cm³
- ΔH_f (0 K): -0.54 eV per formula unit
- N(E_F): 0.7091 states/eV per atom
- Total moment: 0.0000 μB per atom

Below is an optimized crystal structure of LiCaHBrF2, with properties calculated at the PBE level.

Lattice parameters (Å, degrees): 4.217 4.197 11.583 90.00 111.08 90.00
Atoms (fractional coordinates):
F 0.183 0.000 0.658
F 0.183 0.500 0.158
F 0.834 0.500 0.808
F 0.834 0.000 0.308
Li 0.005 0.500 0.983
Li 0.005 0.000 0.483
Ca 0.254 0.500 0.727
Ca 0.254 0.000 0.227
H 0.019 0.000 0.993
H 0.019 0.500 0.493
Br 0.513 0.500 0.487
Br 0.513 0.000 0.987

## Properties
- Uncorrected energy: -4.27 eV per atom
- E above lowest polymorph: 0.0071 eV per atom
- Calculated density: 2.9 g/cm³
- N(E_F): 0.2488 states/eV per atom
- Total moment: 0.0000 μB per atom

Below is an optimized crystal structure of ZrScPtC2, with properties calculated at the PBE level.

Lattice parameters (Å, degrees): 4.064 5.315 4.064 90.00 90.00 90.00
Atoms (fractional coordinates):
C 0.500 0.000 0.000
C 0.000 0.000 0.500
Zr 0.000 0.500 0.000
Pt 0.000 0.000 0.000
Sc 0.500 0.500 0.500

## Properties
- Uncorrected energy: -6.32 eV per atom
- Calculated density: 6.7 g/cm³
- ΔH_f (0 K): 7.75 eV per formula unit
- N(E_F): 1.1756 states/eV per atom
- Total moment: 0.0001 μB per atom

Below is an optimized crystal structure of TbHfTaN3, with properties calculated at the PBE level.

Lattice parameters (Å, degrees): 3.246 5.621 8.390 102.85 90.00 90.00
Atoms (fractional coordinates):
Ta 0.250 0.126 0.636
Ta 0.750 0.874 0.364
Hf 0.250 0.767 0.048
Hf 0.750 0.233 0.952
Tb 0.250 0.351 0.309
Tb 0.750 0.649 0.691
N 0.250 0.441 0.841
N 0.250 0.960 0.846
N 0.750 0.255 0.508
N 0.750 0.559 0.159
N 0.750 0.040 0.154
N 0.250 0.745 0.492

## Properties
- Uncorrected energy: -10.11 eV per atom
- Calculated density: 12.5 g/cm³
- ΔE_f (raw): -1539 meV per atom
- N(E_F): 0.3413 states/eV per atom
- Total moment: 0.0000 μB per atom

Below is an optimized crystal structure of K2LiHgAu, with properties calculated at the PBE level.

Lattice parameters (Å, degrees): 6.340 6.340 5.016 90.00 90.00 90.00
Atoms (fractional coordinates):
K 0.000 0.500 0.000
K 0.500 0.000 0.000
Hg 0.500 0.500 0.500
Li 0.000 0.000 0.500
Au 0.000 0.000 0.000

## Properties
- Uncorrected energy: -1.67 eV per atom
- Calculated density: 4.0 g/cm³
- ΔH_f (0 K): -0.64 eV per formula unit
- N(E_F): 0.7550 states/eV per atom
- Total moment: 0.0008 μB per atom

Below is an optimized crystal structure of NaAcNpN3, with properties calculated at the PBE level.

Lattice parameters (Å, degrees): 5.834 5.648 6.924 65.93 85.77 79.58
Each line ends with the local moment (μB).
Atoms (fractional coordinates):
N 0.496 0.867 0.869  -0.09
N 0.750 0.237 0.527  -0.08
N 0.504 0.133 0.131  -0.09
N 0.996 0.736 0.131  -0.09
N 0.004 0.264 0.869  -0.09
N 0.250 0.763 0.473  -0.08
Np 0.250 0.933 0.133  1.93
Np 0.750 0.067 0.867  1.93
Ac 0.250 0.243 0.513  0.07
Ac 0.750 0.757 0.487  0.07
Na 0.250 0.567 0.867  0.00
Na 0.750 0.433 0.133  0.00

## Properties
- Uncorrected energy: -8.03 eV per atom
- Calculated density: 8.6 g/cm³
- ΔE_f (raw): -808 meV per atom
- N(E_F): 0.7659 states/eV per atom
- Total moment: 0.3305 μB per atom

Below is an optimized crystal structure of Er5Tm2Co4, with properties calculated at the PBE level.

Lattice parameters (Å, degrees): 6.472 7.130 7.188 89.80 63.25 63.01
Each line ends with the local moment (μB).
Atoms (fractional coordinates):
Co 0.643 0.858 0.856  0.74
Co 0.357 0.142 0.144  0.74
Co 0.223 0.073 0.481  0.43
Co 0.777 0.927 0.519  0.43
Er 0.000 0.500 0.500  -0.07
Er 0.715 0.230 0.828  -0.12
Er 0.285 0.770 0.172  -0.12
Er 0.227 0.230 0.828  -0.12
Er 0.773 0.770 0.172  -0.12
Tm 0.715 0.247 0.323  -0.07
Tm 0.285 0.753 0.677  -0.07

## Properties
- Uncorrected energy: -5.49 eV per atom
- Calculated density: 9.2 g/cm³
- ΔH_f (0 K): -0.24 eV per formula unit
- N(E_F): 1.1153 states/eV per atom
- Total moment: 0.1384 μB per atom

Below is an optimized crystal structure of La2HgRhC, with properties calculated at the PBE level.

Lattice parameters (Å, degrees): 5.427 5.427 3.935 90.00 90.00 90.00
Atoms (fractional coordinates):
Hg 0.500 0.500 0.500
C 0.000 0.000 0.000
Rh 0.000 0.000 0.500
La 0.500 0.000 0.000
La 0.000 0.500 0.000

## Properties
- Uncorrected energy: -5.78 eV per atom
- Calculated density: 8.5 g/cm³
- ΔH_f (0 K): -2.16 eV per formula unit
- N(E_F): 0.7259 states/eV per atom
- Total moment: 0.0000 μB per atom

Below is an optimized crystal structure of ZrPaGe2O8, with properties calculated at the PBE level.

Lattice parameters (Å, degrees): 5.909 5.909 5.909 107.55 107.55 113.39
Each line ends with the local moment (μB).
Atoms (fractional coordinates):
O 0.945 0.266 0.321  0.00
O 0.376 0.055 0.321  0.00
O 0.317 0.125 0.808  0.00
O 0.734 0.055 0.679  0.00
O 0.317 0.509 0.192  0.00
O 0.945 0.624 0.679  0.00
O 0.875 0.683 0.192  0.00
O 0.491 0.683 0.808  0.00
Ge 0.500 0.500 0.000  0.03
Ge 0.750 0.250 0.500  0.02
Pa 0.000 0.000 0.000  0.80
Zr 0.250 0.750 0.500  0.03

## Properties
- Uncorrected energy: -8.07 eV per atom
- Calculated density: 6.2 g/cm³
- ΔE_f (raw): -2495 meV per atom
- N(E_F): 0.5555 states/eV per atom
- Total moment: 0.0779 μB per atom

Below is an optimized crystal structure of Zn4CdGa2, with properties calculated at the PBE level.

Lattice parameters (Å, degrees): 2.909 2.909 16.978 85.08 85.08 60.00
Atoms (fractional coordinates):
Cd 0.000 0.000 0.000
Ga 0.768 0.768 0.696
Ga 0.232 0.232 0.304
Zn 0.717 0.717 0.850
Zn 0.854 0.854 0.437
Zn 0.283 0.283 0.150
Zn 0.146 0.146 0.563

## Properties
- Uncorrected energy: -1.64 eV per atom
- E above lowest polymorph: 0.0000 eV per atom
- Calculated density: 6.9 g/cm³
- ΔH_f (0 K): 0.60 eV per formula unit
- N(E_F): 0.2457 states/eV per atom
- Total moment: 0.0000 μB per atom

Below is an optimized crystal structure of Na2In7Ga, with properties calculated at the PBE level.

Lattice parameters (Å, degrees): 7.890 7.890 7.890 60.00 60.00 60.00
Atoms (fractional coordinates):
In 0.241 0.241 0.759
In 0.759 0.241 0.241
In 0.500 0.500 0.500
In 0.241 0.759 0.241
In 0.241 0.759 0.759
In 0.759 0.241 0.759
In 0.759 0.759 0.241
Na 0.250 0.250 0.250
Na 0.750 0.750 0.750
Ga 0.000 0.000 0.000

## Properties
- Uncorrected energy: -2.27 eV per atom
- Calculated density: 4.4 g/cm³
- ΔH_f (0 K): 2.13 eV per formula unit
- N(E_F): 0.3498 states/eV per atom
- Total moment: 0.0000 μB per atom

Below is an optimized crystal structure of BaTbBr2, with properties calculated at the PBE level.

Lattice parameters (Å, degrees): 3.905 3.905 10.928 79.71 79.71 60.00
Atoms (fractional coordinates):
Ba 0.000 0.000 0.000
Br 0.105 0.105 0.686
Br 0.895 0.895 0.314
Tb 0.500 0.500 0.500

## Properties
- Uncorrected energy: -3.57 eV per atom
- Calculated density: 5.4 g/cm³
- ΔE_f (raw): -1098 meV per atom
- N(E_F): 0.8640 states/eV per atom
- Total moment: 0.0000 μB per atom